# 1
Computed, not measured: a relaxed Tb2CeSc3Se6 crystal at the GGA-PBE level of DFT.

Results
Raw formation energy   -1.68 eV per atom

Cell and atoms, written as CIF:
```
data_Tb2CeSc3Se6
_space_group_name_H-M_alt 'C 1 2/m 1'
_space_group_IT_number 12
_space_group_name_Hall '-C 2y'
_cell_length_a 17.4756
_cell_length_b 3.9816
_cell_length_c 8.0637
_cell_angle_alpha 90.00
_cell_angle_beta 103.71
_cell_angle_gamma 90.00
loop_
_atom_site_label
_atom_site_type_symbol
_atom_site_fract_x
_atom_site_fract_y
_atom_site_fract_z
Tb1 Tb 0.1650 0.0000 0.3308
Ce1 Ce 0.0000 0.5000 0.0000
Sc1 Sc 0.0000 0.5000 0.5000
Sc2 Sc 0.1653 0.0000 0.8369
Se1 Se 0.0040 0.0000 0.7335
Se2 Se 0.1640 0.5000 0.5936
Se3 Se 0.1735 0.5000 0.0766
```

***

# 2
Computed, not measured: a relaxed MgCdAs2 crystal at the GGA-PBE level of DFT.

Results
Distance to the lowest polymorph of the same formula   106.1 kJ/mol of formula units

Cell and atoms, written as CIF:
```
data_MgCdAs2
_space_group_name_H-M_alt 'F -4 3 m'
_space_group_IT_number 216
_space_group_name_Hall 'F -4 2 3'
_cell_length_a 6.9222
_cell_length_b 6.9222
_cell_length_c 6.9222
_cell_angle_alpha 90.00
_cell_angle_beta 90.00
_cell_angle_gamma 90.00
loop_
_atom_site_label
_atom_site_type_symbol
_atom_site_fract_x
_atom_site_fract_y
_atom_site_fract_z
Mg1 Mg 0.0000 0.0000 0.0000
Cd1 Cd 0.2500 0.2500 0.7500
As1 As 0.0000 0.0000 0.5000
As2 As 0.2500 0.2500 0.2500
```

***

# 3
Computed, not measured: a relaxed ZnCuAsPd2 crystal at the GGA-PBE level of DFT.

Results
Total energy   -17.79 eV per cell

Cell and atoms, written as CIF:
```
data_ZnCuAsPd2
_space_group_name_H-M_alt 'P 4/m m m'
_space_group_IT_number 123
_space_group_name_Hall '-P 4 2'
_cell_length_a 4.6554
_cell_length_b 4.6554
_cell_length_c 4.3487
_cell_angle_alpha 90.00
_cell_angle_beta 90.00
_cell_angle_gamma 90.00
loop_
_atom_site_label
_atom_site_type_symbol
_atom_site_fract_x
_atom_site_fract_y
_atom_site_fract_z
Zn1 Zn 0.0000 0.0000 0.0000
Cu1 Cu 0.0000 0.0000 0.5000
As1 As 0.5000 0.5000 0.0000
Pd1 Pd 0.0000 0.5000 0.5000
```

***

# 4
Computed, not measured: a relaxed Zn2FeCl crystal at the GGA-PBE level of DFT.

Results
Raw formation energy   0.08 eV per atom
Distance to the lowest polymorph of the same formula   37.4 kJ/mol of formula units

Cell and atoms, written as CIF:
```
data_Zn2FeCl
_space_group_name_H-M_alt 'P 4/m m m'
_space_group_IT_number 123
_space_group_name_Hall '-P 4 2'
_cell_length_a 2.9251
_cell_length_b 2.9251
_cell_length_c 7.3699
_cell_angle_alpha 90.00
_cell_angle_beta 90.00
_cell_angle_gamma 90.00
loop_
_atom_site_label
_atom_site_type_symbol
_atom_site_fract_x
_atom_site_fract_y
_atom_site_fract_z
Zn1 Zn 0.0000 0.0000 0.2212
Fe1 Fe 0.5000 0.5000 0.0000
Cl1 Cl 0.5000 0.5000 0.5000
```

***

# 5
Computed, not measured: a relaxed Sc2GaTe crystal at the GGA-PBE level of DFT.

Results
Raw formation energy   -0.21 eV per atom
Distance to the lowest polymorph of the same formula   268.2 kJ/mol of formula units

Cell and atoms, written as CIF:
```
data_Sc2GaTe
_space_group_name_H-M_alt 'R -3 m'
_space_group_IT_number 166
_space_group_name_Hall '-R 3 2"'
_cell_length_a 3.7319
_cell_length_b 3.7319
_cell_length_c 27.9907
_cell_angle_alpha 90.00
_cell_angle_beta 90.00
_cell_angle_gamma 120.00
loop_
_atom_site_label
_atom_site_type_symbol
_atom_site_fract_x
_atom_site_fract_y
_atom_site_fract_z
Sc1 Sc 0.0000 0.0000 0.0991
Ga1 Ga 0.0000 0.0000 0.0000
Te1 Te 0.0000 0.0000 0.5000
```

***

# 6
Computed, not measured: a relaxed TeRh3 crystal at the GGA-PBE level of DFT.

Results
Raw formation energy   0.33 eV per atom

Cell and atoms, written as CIF:
```
data_TeRh3
_space_group_name_H-M_alt 'R -3 m'
_space_group_IT_number 166
_space_group_name_Hall '-R 3 2"'
_cell_length_a 3.0379
_cell_length_b 3.0379
_cell_length_c 25.1813
_cell_angle_alpha 90.00
_cell_angle_beta 90.00
_cell_angle_gamma 120.00
loop_
_atom_site_label
_atom_site_type_symbol
_atom_site_fract_x
_atom_site_fract_y
_atom_site_fract_z
Te1 Te 0.0000 0.0000 0.0000
Rh1 Rh 0.0000 0.0000 0.2512
Rh2 Rh 0.0000 0.0000 0.5000
```

***

# 7
Computed, not measured: a relaxed TeSeI2F crystal at the GGA-PBE level of DFT.

Results
Raw formation energy   0.26 eV per atom
Distance to the lowest polymorph of the same formula   0.0 kJ/mol of formula units

Cell and atoms, written as CIF:
```
data_TeSeI2F
_space_group_name_H-M_alt 'P 4/m m m'
_space_group_IT_number 123
_space_group_name_Hall '-P 4 2'
_cell_length_a 5.9438
_cell_length_b 5.9438
_cell_length_c 4.1925
_cell_angle_alpha 90.00
_cell_angle_beta 90.00
_cell_angle_gamma 90.00
loop_
_atom_site_label
_atom_site_type_symbol
_atom_site_fract_x
_atom_site_fract_y
_atom_site_fract_z
Te1 Te 0.0000 0.0000 0.0000
Se1 Se 0.5000 0.5000 0.0000
I1 I 0.0000 0.5000 0.5000
F1 F 0.0000 0.0000 0.5000
```

***

# 8
Computed, not measured: a relaxed Ba2PrAs3Pt4 crystal at the GGA-PBE level of DFT.

Results
Total energy   -54.79 eV per cell

Cell and atoms, written as CIF:
```
data_Ba2PrAs3Pt4
_space_group_name_H-M_alt 'P -4 m 2'
_space_group_IT_number 115
_space_group_name_Hall 'P -4 -2'
_cell_length_a 4.5288
_cell_length_b 4.5288
_cell_length_c 11.4540
_cell_angle_alpha 90.00
_cell_angle_beta 90.00
_cell_angle_gamma 90.00
loop_
_atom_site_label
_atom_site_type_symbol
_atom_site_fract_x
_atom_site_fract_y
_atom_site_fract_z
Ba1 Ba 0.0000 0.5000 0.2260
Pr1 Pr 0.0000 0.0000 0.5000
As1 As 0.0000 0.5000 0.8870
As2 As 0.5000 0.5000 0.5000
Pt1 Pt 0.0000 0.0000 0.0000
Pt2 Pt 0.0000 0.5000 0.6638
Pt3 Pt 0.5000 0.5000 0.0000
```

***

# 9
Computed, not measured: a relaxed YGaCu2H crystal at the GGA-PBE level of DFT.

Results
Total energy   -20.39 eV per cell

Cell and atoms, written as CIF:
```
data_YGaCu2H
_space_group_name_H-M_alt 'P 4/m m m'
_space_group_IT_number 123
_space_group_name_Hall '-P 4 2'
_cell_length_a 4.6924
_cell_length_b 4.6924
_cell_length_c 3.7222
_cell_angle_alpha 90.00
_cell_angle_beta 90.00
_cell_angle_gamma 90.00
loop_
_atom_site_label
_atom_site_type_symbol
_atom_site_fract_x
_atom_site_fract_y
_atom_site_fract_z
Y1 Y 0.0000 0.0000 0.0000
Ga1 Ga 0.5000 0.5000 0.5000
Cu1 Cu 0.0000 0.5000 0.5000
H1 H 0.5000 0.5000 0.0000
```

***

# 10
Computed, not measured: a relaxed TbDy2HoIn2 crystal at the GGA-PBE level of DFT.

Results
Total energy   -52.07 eV per cell

Cell and atoms, written as CIF:
```
data_TbDy2HoIn2
_space_group_name_H-M_alt 'P m c 21'
_space_group_IT_number 26
_space_group_name_Hall 'P 2c -2'
_cell_length_a 5.1865
_cell_length_b 9.8042
_cell_length_c 6.7198
_cell_angle_alpha 90.00
_cell_angle_beta 90.00
_cell_angle_gamma 90.00
loop_
_atom_site_label
_atom_site_type_symbol
_atom_site_fract_x
_atom_site_fract_y
_atom_site_fract_z
Tb1 Tb 0.0000 0.0373 0.0000
Dy1 Dy 0.0000 0.3193 0.3505
Dy2 Dy 0.5000 0.4619 0.0705
Ho1 Ho 0.5000 0.1823 0.7208
In1 In 0.0000 0.3573 0.8246
In2 In 0.5000 0.1416 0.2474
```

***

# 11
Computed, not measured: a relaxed HfTi2TlO crystal at the GGA-PBE level of DFT.

Results
Raw formation energy   -0.94 eV per atom

Cell and atoms, written as CIF:
```
data_HfTi2TlO
_space_group_name_H-M_alt 'P 4/m m m'
_space_group_IT_number 123
_space_group_name_Hall '-P 4 2'
_cell_length_a 4.1863
_cell_length_b 4.1863
_cell_length_c 4.5831
_cell_angle_alpha 90.00
_cell_angle_beta 90.00
_cell_angle_gamma 90.00
loop_
_atom_site_label
_atom_site_type_symbol
_atom_site_fract_x
_atom_site_fract_y
_atom_site_fract_z
Hf1 Hf 0.0000 0.0000 0.0000
Ti1 Ti 0.0000 0.5000 0.5000
Tl1 Tl 0.5000 0.5000 0.0000
O1 O 0.0000 0.0000 0.5000
```

***

# 12
Computed, not measured: a relaxed Ba3Cd3Hg crystal at the GGA-PBE level of DFT.

Results
Total energy   -44.77 eV per cell

Cell and atoms, written as CIF:
```
data_Ba3Cd3Hg
_space_group_name_H-M_alt 'C 1 2/m 1'
_space_group_IT_number 12
_space_group_name_Hall '-C 2y'
_cell_length_a 12.5453
_cell_length_b 4.9836
_cell_length_c 17.9583
_cell_angle_alpha 90.00
_cell_angle_beta 108.87
_cell_angle_gamma 90.00
loop_
_atom_site_label
_atom_site_type_symbol
_atom_site_fract_x
_atom_site_fract_y
_atom_site_fract_z
Ba1 Ba 0.0598 0.0000 0.3959
Ba2 Ba 0.1062 0.0000 0.9218
Ba3 Ba 0.2489 0.5000 0.7655
Cd1 Cd 0.0406 0.5000 0.2329
Cd2 Cd 0.1008 0.5000 0.0777
Cd3 Cd 0.1244 0.5000 0.5487
Hg1 Hg 0.2449 0.0000 0.6155
```

***

# 13
Computed, not measured: a relaxed CaTeAuSeS crystal at the GGA-PBE level of DFT.

Results
Raw formation energy   -0.69 eV per atom
Distance to the lowest polymorph of the same formula   34.5 kJ/mol of formula units

Cell and atoms, written as CIF:
```
data_CaTeAuSeS
_space_group_name_H-M_alt 'P 1'
_space_group_IT_number 1
_space_group_name_Hall 'P 1'
_cell_length_a 4.1627
_cell_length_b 4.1646
_cell_length_c 7.5995
_cell_angle_alpha 88.09
_cell_angle_beta 88.12
_cell_angle_gamma 80.24
loop_
_atom_site_label
_atom_site_type_symbol
_atom_site_fract_x
_atom_site_fract_y
_atom_site_fract_z
Ca1 Ca 0.0000 0.0000 0.0000
Te1 Te 0.0686 0.0658 0.5596
Au1 Au 0.6740 0.6711 0.4558
Se1 Se 0.4020 0.4011 0.1994
S1 S 0.5707 0.5707 0.9211
```

***

# 14
Computed, not measured: a relaxed In2Hg2Pb crystal at the GGA-PBE level of DFT.

Results
Distance to the lowest polymorph of the same formula   9.6 kJ/mol of formula units

Cell and atoms, written as CIF:
```
data_In2Hg2Pb
_space_group_name_H-M_alt 'P 4/m b m'
_space_group_IT_number 127
_space_group_name_Hall '-P 4 2ab'
_cell_length_a 8.5113
_cell_length_b 8.5113
_cell_length_c 3.8420
_cell_angle_alpha 90.00
_cell_angle_beta 90.00
_cell_angle_gamma 90.00
loop_
_atom_site_label
_atom_site_type_symbol
_atom_site_fract_x
_atom_site_fract_y
_atom_site_fract_z
In1 In 0.1343 0.3657 0.0000
Hg1 Hg 0.1661 0.6661 0.5000
Pb1 Pb 0.0000 0.0000 0.0000
```

***

# 15
Computed, not measured: a relaxed PmPr2SnO crystal at the GGA-PBE level of DFT.

Results
Raw formation energy   -1.46 eV per atom

Cell and atoms, written as CIF:
```
data_PmPr2SnO
_space_group_name_H-M_alt 'P 4/m m m'
_space_group_IT_number 123
_space_group_name_Hall '-P 4 2'
_cell_length_a 5.0392
_cell_length_b 5.0392
_cell_length_c 4.8926
_cell_angle_alpha 90.00
_cell_angle_beta 90.00
_cell_angle_gamma 90.00
loop_
_atom_site_label
_atom_site_type_symbol
_atom_site_fract_x
_atom_site_fract_y
_atom_site_fract_z
Pm1 Pm 0.0000 0.0000 0.0000
Pr1 Pr 0.0000 0.5000 0.5000
Sn1 Sn 0.5000 0.5000 0.0000
O1 O 0.0000 0.0000 0.5000
```

***

# 16
Computed, not measured: a relaxed SiTeCl3 crystal at the GGA-PBE level of DFT.

Results
Raw formation energy   -0.06 eV per atom
Distance to the lowest polymorph of the same formula   0.0 kJ/mol of formula units

Cell and atoms, written as CIF:
```
data_SiTeCl3
_space_group_name_H-M_alt 'P m -3 m'
_space_group_IT_number 221
_space_group_name_Hall '-P 4 2 3'
_cell_length_a 5.0772
_cell_length_b 5.0772
_cell_length_c 5.0772
_cell_angle_alpha 90.00
_cell_angle_beta 90.00
_cell_angle_gamma 90.00
loop_
_atom_site_label
_atom_site_type_symbol
_atom_site_fract_x
_atom_site_fract_y
_atom_site_fract_z
Si1 Si 0.0000 0.0000 0.0000
Te1 Te 0.5000 0.5000 0.5000
Cl1 Cl 0.0000 0.0000 0.5000
```

***

# 17
Computed, not measured: a relaxed La3Pm7Er2 crystal at the GGA-PBE level of DFT.

Results
Total energy   -162.25 eV per cell

Cell and atoms, written as CIF:
```
data_La3Pm7Er2
_space_group_name_H-M_alt 'R -3 m'
_space_group_IT_number 166
_space_group_name_Hall '-R 3 2"'
_cell_length_a 6.6527
_cell_length_b 6.6527
_cell_length_c 34.3118
_cell_angle_alpha 90.00
_cell_angle_beta 90.00
_cell_angle_gamma 120.00
loop_
_atom_site_label
_atom_site_type_symbol
_atom_site_fract_x
_atom_site_fract_y
_atom_site_fract_z
La1 La 0.0000 0.0000 0.0000
La2 La 0.0000 0.0000 0.1537
Pm1 Pm 0.0000 0.0000 0.5000
Pm2 Pm 0.0025 0.5012 0.9169
Er1 Er 0.0000 0.0000 0.3337
```

***

# 18
Computed, not measured: a relaxed Tl12PdAu6 crystal at the GGA-PBE level of DFT.

Results
Total energy   -159.16 eV per cell

Cell and atoms, written as CIF:
```
data_Tl12PdAu6
_space_group_name_H-M_alt 'R -3'
_space_group_IT_number 148
_space_group_name_Hall '-R 3'
_cell_length_a 12.2886
_cell_length_b 12.2886
_cell_length_c 11.2731
_cell_angle_alpha 90.00
_cell_angle_beta 90.00
_cell_angle_gamma 120.00
loop_
_atom_site_label
_atom_site_type_symbol
_atom_site_fract_x
_atom_site_fract_y
_atom_site_fract_z
Tl1 Tl 0.0451 0.4880 0.1320
Tl2 Tl 0.0857 0.9014 0.7607
Pd1 Pd 0.0000 0.0000 0.5000
Au1 Au 0.0073 0.2379 0.0074
```

***

# 19
Computed, not measured: a relaxed RbLa2AsN crystal at the GGA-PBE level of DFT.

Results
Raw formation energy   -0.23 eV per atom

Cell and atoms, written as CIF:
```
data_RbLa2AsN
_space_group_name_H-M_alt 'P 4/m m m'
_space_group_IT_number 123
_space_group_name_Hall '-P 4 2'
_cell_length_a 4.9944
_cell_length_b 4.9944
_cell_length_c 5.5896
_cell_angle_alpha 90.00
_cell_angle_beta 90.00
_cell_angle_gamma 90.00
loop_
_atom_site_label
_atom_site_type_symbol
_atom_site_fract_x
_atom_site_fract_y
_atom_site_fract_z
Rb1 Rb 0.0000 0.0000 0.0000
La1 La 0.0000 0.5000 0.5000
As1 As 0.5000 0.5000 0.0000
N1 N 0.5000 0.5000 0.5000
```

***

# 20
Computed, not measured: a relaxed SrAcPm2 crystal at the GGA-PBE level of DFT.

Results
Distance to the lowest polymorph of the same formula   36.2 kJ/mol of formula units

Cell and atoms, written as CIF:
```
data_SrAcPm2
_space_group_name_H-M_alt 'R -3 m'
_space_group_IT_number 166
_space_group_name_Hall '-R 3 2"'
_cell_length_a 3.7735
_cell_length_b 3.7735
_cell_length_c 40.0062
_cell_angle_alpha 90.00
_cell_angle_beta 90.00
_cell_angle_gamma 120.00
loop_
_atom_site_label
_atom_site_type_symbol
_atom_site_fract_x
_atom_site_fract_y
_atom_site_fract_z
Sr1 Sr 0.0000 0.0000 0.0000
Ac1 Ac 0.0000 0.0000 0.5000
Pm1 Pm 0.0000 0.0000 0.0907
```